CoF3 | PBE with a Hubbard U | relaxed

```
data_CoF3
_chemical_formula_sum 'Co3 F9'
_cell_length_a 5.5133
_cell_length_b 5.5133
_cell_length_c 6.5018
_cell_angle_alpha 90.00
_cell_angle_beta 90.00
_cell_angle_gamma 120.00
_symmetry_space_group_name_H-M 'R -3 m'
_symmetry_Int_Tables_number 166
_symmetry_space_group_name_Hall '-R 3 2"'
loop_
_atom_site_label
_atom_site_fract_x
_atom_site_fract_y
_atom_site_fract_z
Co1 0.0000 0.0000 0.0000
F1 0.0000 0.5000 0.5000
```

## Properties
Fermi-level density of states (states/eV/f.u.): 0.071
Energy (eV per atom): -4.53
Calculated density (kg/m³): 3374
Crystal system: trigonal